The following is a PBE-GGA calculation of a relaxed PrY2Mg crystal, from the Alexandria database.

Cell and atoms, written as POSCAR:
```
PrY2Mg
1.0
3.614 0.000 0.000
-1.807 3.130 0.000
0.000 0.000 33.686
Pr Y Mg
3 6 3
Direct
0.000 0.000 0.000
0.333 0.667 0.667
0.667 0.333 0.333
0.000 0.000 0.244
0.000 0.000 0.423
0.333 0.667 0.089
0.333 0.667 0.911
0.667 0.333 0.578
0.667 0.333 0.756
0.000 0.000 0.834
0.333 0.667 0.500
0.667 0.333 0.167
```

Results
- ρ: 4484 kg/m3
- Formation enthalpy at 0 K: 0.03 eV per atom
- M_tot: 0.00 μB per cell